Entry 1:
Li4Ca2Ga5: optimized geometry, PBE.

Cell lengths 6.379, 6.379, 8.418 Å; angles 124.68, 124.68, 52.16 degrees
Fractional positions:
Li: 0.242 0.242 0.052
Li: 0.257 0.257 0.387
Li: 0.743 0.743 0.613
Li: 0.758 0.758 0.948
Ca: 0.303 0.303 0.770
Ca: 0.697 0.697 0.230
Ga: 0.000 0.000 0.000
Ga: 0.239 0.753 0.323
Ga: 0.247 0.761 0.677
Ga: 0.753 0.239 0.323
Ga: 0.761 0.247 0.677

- SG: C2/m, No. 12

Entry 2:
LiCa8Ga2: optimized geometry, PBE.

Cell lengths 9.264, 9.264, 10.973 Å; angles 101.95, 101.95, 24.44 degrees
Fractional positions:
Li: 0.000 0.000 0.000
Ca: 0.160 0.160 0.501
Ca: 0.169 0.169 0.907
Ca: 0.356 0.356 0.803
Ca: 0.469 0.469 0.323
Ca: 0.531 0.531 0.677
Ca: 0.644 0.644 0.197
Ca: 0.831 0.831 0.093
Ca: 0.840 0.840 0.499
Ga: 0.281 0.281 0.280
Ga: 0.719 0.719 0.720

- SG: C2/m, No. 12
- Relative energy among the computed polymorphs: 39 meV/atom

The magnetic moment results, record by record, are as follows: 0.0 0.0 μB per formula unit.
The calculated formation energy results, record by record, are as follows: -25 -14 kJ/mol of atoms.
The mass density results, record by record, are as follows: 3.62 2.04 g cm⁻³.